Entry 1:
{
  "formula": "Hf2BeAu2",
  "functional": "PBE",
  "state": "relaxed",
  "dos_at_fermi_per_ev_atom": 0.535,
  "total_magnetization_mub_per_fu": 0.0,
  "spacegroup": "No. 127",
  "energy_ev_per_atom": -6.2617,
  "lattice_angstrom": [[6.340, 0.000, 0.000], [0.000, 6.340, 0.000], [0.000, 0.000, 4.561]],
  "species": ["Hf", "Hf", "Hf", "Hf", "Be", "Be", "Au", "Au", "Au", "Au"],
  "frac_coords": [[0.171, 0.329, 0.000], [0.329, 0.829, 0.000], [0.671, 0.171, 0.000], [0.829, 0.671, 0.000], [0.000, 0.000, 0.500], [0.500, 0.500, 0.500], [0.154, 0.654, 0.500], [0.346, 0.154, 0.500], [0.654, 0.846, 0.500], [0.846, 0.346, 0.500]]
}



Entry 2:
{
  "formula": "HfBe3Au",
  "functional": "PBE",
  "state": "relaxed",
  "dos_at_fermi_per_ev_atom": 0.536,
  "total_magnetization_mub_per_fu": 0.0,
  "spacegroup": "No. 221",
  "energy_ev_per_atom": -4.4705,
  "lattice_angstrom": [[4.247, 0.000, 0.000], [0.000, 4.247, 0.000], [0.000, 0.000, 4.247]],
  "species": ["Hf", "Be", "Be", "Be", "Au"],
  "frac_coords": [[0.000, 0.000, 0.000], [0.000, 0.500, 0.500], [0.500, 0.000, 0.500], [0.500, 0.500, 0.000], [0.500, 0.500, 0.500]]
}



Entry 3:
{
  "formula": "HfBeAu3",
  "functional": "PBE",
  "state": "relaxed",
  "dos_at_fermi_per_ev_atom": 0.630,
  "total_magnetization_mub_per_fu": 0.0,
  "spacegroup": "No. 221",
  "energy_ev_per_atom": -4.7360,
  "lattice_angstrom": [[4.448, 0.000, 0.000], [0.000, 4.448, 0.000], [0.000, 0.000, 4.448]],
  "species": ["Hf", "Be", "Au", "Au", "Au"],
  "frac_coords": [[0.000, 0.000, 0.000], [0.500, 0.500, 0.500], [0.000, 0.500, 0.500], [0.500, 0.000, 0.500], [0.500, 0.500, 0.000]]
}



Entry 4:
{
  "formula": "HfBeAu",
  "functional": "PBE",
  "state": "relaxed",
  "dos_at_fermi_per_ev_atom": 0.942,
  "total_magnetization_mub_per_fu": 0.3,
  "spacegroup": "No. 187",
  "energy_ev_per_atom": -5.9832,
  "lattice_angstrom": [[4.166, 0.000, 0.000], [-2.083, 3.608, 0.000], [0.000, 0.000, 3.259]],
  "species": ["Hf", "Be", "Au"],
  "frac_coords": [[0.000, 0.000, 0.000], [0.667, 0.333, 0.500], [0.333, 0.667, 0.500]]
}